[1]
# Mg3Si2Ir PBE optimized geometry
# E_form (uncorrected)   -1.8 eV/f.u.
data_Mg3Si2Ir
_chemical_formula_sum 'Mg12 Si8 Ir4'
_symmetry_space_group_name_H-M 'P 1 21/c 1'
_symmetry_Int_Tables_number 14
_symmetry_space_group_name_Hall '-P 2ybc'
_cell_length_a 7.028
_cell_length_b 7.569
_cell_length_c 8.459
_cell_angle_alpha 90.00
_cell_angle_beta 103.12
_cell_angle_gamma 90.00
loop_
_atom_site_label
_atom_site_type_symbol
_atom_site_fract_x
_atom_site_fract_y
_atom_site_fract_z
Mg1 Mg 0.166 0.111 0.467
Mg2 Mg 0.246 0.039 0.097
Mg3 Mg 0.326 0.724 0.357
Si1 Si 0.048 0.100 0.766
Si2 Si 0.483 0.564 0.124
Ir1 Ir 0.390 0.147 0.809

---

[2]
Below is a geometry-optimized LiFeMo2H structure, with properties calculated at the PBE level.

CIF file:
```
data_LiFeMo2H
_chemical_formula_sum 'Li1 Fe1 Mo2 H1'
_symmetry_space_group_name_H-M 'P 4/m m m'
_symmetry_Int_Tables_number 123
_symmetry_space_group_name_Hall '-P 4 2'
_cell_length_a 4.405
_cell_length_b 4.405
_cell_length_c 4.583
_cell_angle_alpha 90.00
_cell_angle_beta 90.00
_cell_angle_gamma 90.00
loop_
_atom_site_label
_atom_site_type_symbol
_atom_site_fract_x
_atom_site_fract_y
_atom_site_fract_z
Li1 Li 0.000 0.000 0.000
Fe1 Fe 0.000 0.000 0.500
Mo1 Mo 0.000 0.500 0.500
H1 H 0.500 0.500 0.000
```

---

Number 1: volume 438 Å³/cell, final energy -105.1 eV/cell. Number 2: volume 89 Å³/cell, final energy -27.2 eV/cell.